# Y4PS3 | the Alexandria database | GGA-PBE | optimized geometry
data_Y4PS3
_chemical_formula_sum 'Y4 P1 S3'
_symmetry_space_group_name_H-M 'P 1'
_symmetry_Int_Tables_number 1
_symmetry_space_group_name_Hall 'P 1'
_cell_length_a 5.5715
_cell_length_b 5.5715
_cell_length_c 5.5715
_cell_angle_alpha 90.00
_cell_angle_beta 90.00
_cell_angle_gamma 90.00
loop_
_atom_site_label
_atom_site_fract_x
_atom_site_fract_y
_atom_site_fract_z
Y1 0.0000 0.0000 0.0000
Y2 0.0000 0.5000 0.5000
Y3 0.5000 0.0000 0.5000
Y4 0.5000 0.5000 0.0000
P1 0.5000 0.5000 0.5000
S1 0.0000 0.0000 0.5000
S2 0.0000 0.5000 0.0000
S3 0.5000 0.0000 0.0000
# Symmetry   Pm-3m, No. 221
# Magnetization   0.00 μB per cell
# DOS(E_F)   0.2004 states/eV per atom
# Electronic total energy   -7.41 eV per atom


# LiThBr2 | the Alexandria database | GGA-PBE | optimized geometry
data_LiThBr2
_chemical_formula_sum 'Li1 Th1 Br2'
_symmetry_space_group_name_H-M 'P 1'
_symmetry_Int_Tables_number 1
_symmetry_space_group_name_Hall 'P 1'
_cell_length_a 9.2584
_cell_length_b 9.2584
_cell_length_c 9.2584
_cell_angle_alpha 23.51
_cell_angle_beta 23.51
_cell_angle_gamma 23.51
loop_
_atom_site_label
_atom_site_fract_x
_atom_site_fract_y
_atom_site_fract_z
Li1 0.0000 0.0000 0.0000
Th1 0.5000 0.5000 0.5000
Br1 0.3915 0.3915 0.3915
Br2 0.6085 0.6085 0.6085
# Symmetry   R-3m, No. 166
# Magnetization   0.98 μB per cell
# DOS(E_F)   0.6016 states/eV per atom
# Electronic total energy   -4.18 eV per atom


# Pm4TlTe2Se | the Alexandria database | GGA-PBE | optimized geometry
data_Pm4TlTe2Se
_chemical_formula_sum 'Pm4 Tl1 Te2 Se1'
_symmetry_space_group_name_H-M 'P 1'
_symmetry_Int_Tables_number 1
_symmetry_space_group_name_Hall 'P 1'
_cell_length_a 7.6346
_cell_length_b 4.3852
_cell_length_c 7.7096
_cell_angle_alpha 90.00
_cell_angle_beta 109.04
_cell_angle_gamma 90.00
loop_
_atom_site_label
_atom_site_fract_x
_atom_site_fract_y
_atom_site_fract_z
Pm1 0.2398 0.0000 0.2314
Pm2 0.2490 0.5000 0.7595
Pm3 0.7510 0.5000 0.2405
Pm4 0.7602 0.0000 0.7686
Tl1 0.5000 0.0000 0.0000
Te1 0.0000 0.0000 0.5000
Te2 0.5000 0.5000 0.5000
Se1 0.0000 0.5000 0.0000
# Symmetry   P2/m, No. 10
# Magnetization   0.00 μB per cell
# DOS(E_F)   0.4000 states/eV per atom
# Electronic total energy   -5.16 eV per atom